An optimized crystal structure of Ba4U3MnO12. Source: Alexandria via LeMat-Bulk, functional PBE with a Hubbard U.

Results
Total DFT energy (no corrections) in eV/atom: -8.399
Space group: Im-3m, No. 229
Fermi-level density of states in states/eV/f.u.: 7.5

a b c (Å): 7.5981 7.5981 7.5981
angles (deg): 109.47 109.47 109.47
Each line ends with the local moment (μB).
Positions (direct):
Mn (0.0000, 0.0000, 0.0000)  -4.63
O (0.2587, 0.2587, 0.0000)  -0.04
O (0.0000, 0.7413, 0.7413)  -0.04
O (0.5000, 0.7500, 0.2500)  -0.04
O (0.2587, 0.0000, 0.2587)  -0.04
O (0.7500, 0.5000, 0.2500)  -0.04
O (0.5000, 0.2500, 0.7500)  -0.04
O (0.7500, 0.2500, 0.5000)  -0.04
O (0.2500, 0.5000, 0.7500)  -0.04
O (0.7413, 0.0000, 0.7413)  -0.04
O (0.7413, 0.7413, 0.0000)  -0.04
O (0.0000, 0.2587, 0.2587)  -0.04
O (0.2500, 0.7500, 0.5000)  -0.04
U (0.0000, 0.5000, 0.5000)  1.33
U (0.5000, 0.0000, 0.5000)  1.33
U (0.5000, 0.5000, 0.0000)  1.33
Ba (0.0000, 0.5000, 0.0000)  0.01
Ba (0.0000, 0.0000, 0.5000)  0.01
Ba (0.5000, 0.5000, 0.5000)  0.01
Ba (0.5000, 0.0000, 0.0000)  0.01